# Sr2ZrAg

Sr2ZrAg after structural relaxation (PBE-GGA, Alexandria).

Cell and atoms, written as POSCAR:
```
Sr2ZrAg
1.0
-4.516 4.516 3.322
4.516 -4.516 3.322
4.516 4.516 -3.322
Sr Zr Ag
4 2 2
Direct
0.081 0.625 0.956 Sr
0.375 0.331 0.456 Sr
0.669 0.125 0.044 Sr
0.875 0.919 0.544 Sr
0.250 0.750 0.500 Zr
0.500 0.500 0.000 Zr
0.000 0.000 0.000 Ag
0.750 0.250 0.500 Ag
```

Properties
formation enthalpy at 0 K	2.3	eV per formula unit
DFT total energy	-3.12	eV/atom
ΔE to the lowest computed polymorph	401	meV per atom